Ac2TbSn4Pd3 after structural relaxation, computed with PBE-GGA.

The structure in POSCAR format:
```
Ac2TbSn4Pd3
1.0
-4.0448 -0.6169 2.0856
-1.7635 -1.6472 -3.9074
3.4160 -11.3843 3.2575
Sn Ac Pd Tb
4 2 3 1
Cartesian
0.2868 -4.7179 -0.8394
0.0000 0.0000 0.0000
0.2251 -7.7984 3.1859
-2.9041 -1.1321 -0.9109
-1.2307 -2.9470 1.7978
1.7425 -9.5693 0.5488
1.7080 -5.6921 1.6287
-0.4606 -2.2270 -1.5521
0.9725 -10.2893 3.8987
-1.1961 -6.8242 0.7178
```

Calculated values
Its volume is 260 Å³/cell. As for the space group: P-4m2. Its total energy is -52.2 eV/f.u.